First-principles (PBE) data for crystalline LiWAuS3 at its relaxed geometry, as listed in OQMD.

Geometry as POSCAR:
```
LiWAuS3
1.0
1.667 -6.961 0.000
1.667 6.961 0.000
0.000 0.000 9.368
Li W Au S
2 2 2 6
Direct
0.162 0.838 0.750 Li
0.838 0.162 0.250 Li
0.500 0.500 0.000 W
0.500 0.500 0.500 W
0.179 0.821 0.250 Au
0.821 0.179 0.750 Au
0.132 0.868 0.010 S
0.132 0.868 0.490 S
0.480 0.520 0.250 S
0.520 0.480 0.750 S
0.868 0.132 0.510 S
0.868 0.132 0.990 S
```

Calculated values
Spin magnetization   0.01 μB/cell
Energy   -5.4678 eV/atom
SG   Cmcm